No. 1
Entry from Alexandria via LeMat-Bulk: crystalline ZnSiAg2 at its relaxed geometry (PBEsol).

Cell lengths 3.302, 3.302, 5.718 Å; angles 90.00, 90.00, 90.00 degrees
Positions (direct):
Zn 0.500 0.500 0.500
Ag 0.000 0.000 0.748
Ag 0.000 0.000 0.252
Si 0.500 0.500 0.000

Energy relative to the lowest polymorph listed for this composition, eV/atom: 0.040
Magnetization, μB/cell: 0.00
V, Å³/f.u.: 62



No. 2
Entry from Alexandria via LeMat-Bulk: crystalline FeAs2AuBr at its relaxed geometry (PBEsol).

Cell lengths 4.942, 4.942, 5.136 Å; angles 90.00, 90.00, 90.00 degrees
Positions (direct):
As 0.000 0.500 0.000
As 0.500 0.000 0.000
Au 0.000 0.000 0.000
Br 0.000 0.000 0.500
Fe 0.500 0.500 0.500

Magnetization, μB/cell: 3.39
V, Å³/f.u.: 125
Total DFT energy (no corrections), eV per atom: -3.774



No. 3
Entry from Alexandria via LeMat-Bulk: crystalline HgBiSe2 at its relaxed geometry (PBEsol).

Cell lengths 5.072, 5.072, 5.072 Å; angles 60.00, 60.00, 60.00 degrees
Positions (direct):
Bi 0.500 0.500 0.500
Se 0.750 0.750 0.750
Se 0.250 0.250 0.250
Hg 0.000 0.000 0.000

Magnetization, μB/cell: 0.00
V, Å³/f.u.: 92
Total DFT energy (no corrections), eV per atom: -3.175



No. 4
Entry from Alexandria via LeMat-Bulk: crystalline AlSi2BPt at its relaxed geometry (PBEsol).

Cell lengths 4.555, 4.625, 4.625 Å; angles 90.00, 90.00, 90.00 degrees
Positions (direct):
Si 0.000 0.500 0.000
Si 0.000 0.000 0.500
B 0.500 0.500 0.500
Al 0.000 0.000 0.000
Pt 0.500 0.000 0.000

Magnetization, μB/cell: 0.00
V, Å³/f.u.: 97
Total DFT energy (no corrections), eV per atom: -4.272



No. 5
Entry from Alexandria via LeMat-Bulk: crystalline MgSc2Al at its relaxed geometry (PBEsol).

Cell lengths 4.259, 4.259, 5.505 Å; angles 112.76, 112.76, 90.00 degrees
Positions (direct):
Sc 0.000 0.000 0.000
Sc 0.750 0.250 0.500
Al 0.500 0.500 0.000
Mg 0.250 0.750 0.500

Energy relative to the lowest polymorph listed for this composition, eV/atom: 0.169
Magnetization, μB/cell: 0.00
V, Å³/f.u.: 84



No. 6
Entry from Alexandria via LeMat-Bulk: crystalline BaZnIn3 at its relaxed geometry (PBEsol).

Cell lengths 4.727, 4.727, 6.786 Å; angles 110.38, 110.38, 90.00 degrees
Positions (direct):
Ba 0.997 0.997 0.994
In 0.606 0.606 0.211
In 0.758 0.258 0.516
In 0.258 0.758 0.516
Zn 0.381 0.381 0.763

Magnetization, μB/cell: 0.00
V, Å³/f.u.: 132
Total DFT energy (no corrections), eV per atom: -2.921



No. 7
Entry from Alexandria via LeMat-Bulk: crystalline TaCr2Br at its relaxed geometry (PBEsol).

Cell lengths 3.014, 4.345, 4.533 Å; angles 90.00, 90.00, 90.00 degrees
Positions (direct):
Ta 0.500 0.500 0.000
Cr 0.500 0.000 0.500
Cr 0.000 0.000 0.000
Br 0.000 0.500 0.500

Energy relative to the lowest polymorph listed for this composition, eV/atom: 0.375
Magnetization, μB/cell: 0.68
V, Å³/f.u.: 59



No. 8
Entry from Alexandria via LeMat-Bulk: crystalline Mn2AgP at its relaxed geometry (PBEsol).

Cell lengths 2.745, 2.718, 7.287 Å; angles 90.00, 100.86, 90.00 degrees
Positions (direct):
Ag 0.562 0.500 0.125
Mn 0.922 0.000 0.843
Mn 0.312 0.500 0.623
P 0.725 0.000 0.449

Magnetization, μB/cell: 2.59
V, Å³/f.u.: 53
Total DFT energy (no corrections), eV per atom: -7.092



No. 9
Entry from Alexandria via LeMat-Bulk: crystalline CaHgPb2 at its relaxed geometry (PBEsol).

Cell lengths 5.401, 5.401, 5.401 Å; angles 60.00, 60.00, 60.00 degrees
Positions (direct):
Pb 0.750 0.750 0.750
Pb 0.000 0.000 0.000
Hg 0.250 0.250 0.250
Ca 0.500 0.500 0.500

Magnetization, μB/cell: 0.00
V, Å³/f.u.: 111
Total DFT energy (no corrections), eV per atom: -3.006



No. 10
Entry from Alexandria via LeMat-Bulk: crystalline Sc7NCl12 at its relaxed geometry (PBEsol).

Cell lengths 7.939, 7.939, 7.939 Å; angles 107.66, 107.66, 107.66 degrees
Positions (direct):
Sc 0.303 0.030 0.101
Sc 0.030 0.101 0.303
Sc 0.970 0.899 0.697
Sc 0.697 0.970 0.899
Sc 0.101 0.303 0.030
Sc 0.500 0.500 0.500
Sc 0.899 0.697 0.970
Cl 0.384 0.153 0.464
Cl 0.078 0.226 0.688
Cl 0.312 0.922 0.774
Cl 0.226 0.688 0.078
Cl 0.922 0.774 0.312
Cl 0.847 0.536 0.616
Cl 0.153 0.464 0.384
Cl 0.536 0.616 0.847
Cl 0.688 0.078 0.226
Cl 0.616 0.847 0.536
Cl 0.464 0.384 0.153
Cl 0.774 0.312 0.922
N 0.000 0.000 0.000

Magnetization, μB/cell: 0.00
V, Å³/f.u.: 409
Total DFT energy (no corrections), eV per atom: -5.943



No. 11
Entry from Alexandria via LeMat-Bulk: crystalline SrTePb2 at its relaxed geometry (PBEsol).

Cell lengths 4.402, 4.402, 6.885 Å; angles 90.00, 90.00, 90.00 degrees
Positions (direct):
Pb 0.000 0.000 0.058
Pb 0.500 0.500 0.215
Sr 0.000 0.000 0.558
Te 0.500 0.500 0.669

Magnetization, μB/cell: 0.00
V, Å³/f.u.: 133
Total DFT energy (no corrections), eV per atom: -3.918



No. 12
Entry from Alexandria via LeMat-Bulk: crystalline Tl2Cd at its relaxed geometry (PBEsol).

Cell lengths 3.435, 3.435, 7.642 Å; angles 90.00, 90.00, 120.00 degrees
Positions (direct):
Tl 0.667 0.333 0.678
Tl 0.333 0.667 0.322
Cd 0.000 0.000 0.000

Energy relative to the lowest polymorph listed for this composition, eV/atom: 0.019
Magnetization, μB/cell: 0.00
V, Å³/f.u.: 78



DOS at the Fermi energy / states/eV/cell: 0.99; 8.05; 1.02; 2.47; 4.85; 1.74; 4.26; 2.81; 1.02; 7.78; 1.89; 1.47